# 1
Density functional theory data (PBE) for a relaxed structure of MgBiCS2.

Cell: 5.3160 5.3160 5.6031 Å, 90.00 90.00 90.00°
With the nearest neighbours (Å) after each atom.
Space group P4/mmm (No. 123)
Unique sites:
Mg  0.0000  0.0000  0.0000  2 Bi 2.80
Bi  0.0000  0.0000  0.5000  4 S 2.66, 2 Mg 2.80
C  0.5000  0.5000  0.0000  4 Mg 3.76, 8 S 3.86
S  0.0000  0.5000  0.5000  2 Bi 2.66

Calculated values
- E_form (uncorrected) (eV/atom) = 1.791
- crystal system = tetragonal
- total energy (Ry per atom) = -0.206
- ρ (g/cm3) = 3.245

# 2
Density functional theory data (PBE) for a relaxed structure of SrPmBi.

Cell: 3.6137 3.6137 18.4788 Å, 90.00 90.00 90.00°
With the nearest neighbours (Å) after each atom.
Space group I4mm (No. 107)
Unique sites:
Sr  0.0000  0.0000  0.0000  4 Bi 3.48, 4 Sr 3.61, 1 Pm 3.74
Pm  0.0000  0.0000  0.7976  1 Bi 3.14
Bi  0.0000  0.0000  0.6278  1 Pm 3.14, 4 Sr 3.48

Calculated values
- energy relative to the elements (eV per atom) = 0.034
- crystal system = tetragonal
- total energy (Ry per atom) = -0.250
- ρ (g/cm3) = 6.078

# 3
Density functional theory data (PBE) for a relaxed structure of Ho4MgAl3.

Cell: 5.1243 5.1243 7.2262 Å, 90.00 90.00 90.00°
With the nearest neighbours (Å) after each atom.
Space group P4/mmm (No. 123)
Unique sites:
Ho  0.0000  0.5000  0.2452  6 Al 3.12-3.16, 2 Mg 3.16
Mg  0.0000  0.0000  0.5000  8 Ho 3.16
Al  0.0000  0.0000  0.0000  8 Ho 3.12
Al  0.5000  0.5000  0.0000  8 Ho 3.12
Al  0.5000  0.5000  0.5000  8 Ho 3.16

Calculated values
- energy relative to the elements (eV per atom) = -0.336
- crystal system = tetragonal
- total energy (Ry per atom) = -0.311
- ρ (g/cm3) = 6.694

# 4
Density functional theory data (PBE) for a relaxed structure of Zr3As.

Cell: 3.4411 3.4411 8.7574 Å, 90.00 90.00 120.00°
With the nearest neighbours (Å) after each atom.
Space group P-6m2 (No. 187)
Unique sites:
Zr  0.0000  0.0000  0.0000  12 Zr 3.19-3.44
Zr  0.6667  0.3333  0.2852  3 As 2.74
As  0.0000  0.0000  0.5000  6 Zr 2.74

Calculated values
- energy relative to the elements (eV per atom) = -0.373
- crystal system = hexagonal
- total energy (Ry per atom) = -0.584
- ρ (g/cm3) = 6.446

# 5
Density functional theory data (PBE) for a relaxed structure of BaUPb2O6.

Cell: 6.0481 6.7946 10.6557 Å, 90.00 123.07 90.00°
With the nearest neighbours (Å) after each atom.
Space group P2_1/c (No. 14)
Unique sites:
Ba  0.0000  0.0000  0.0000  6 O 2.65-2.88
U  0.5000  0.0000  0.5000  6 O 2.02-2.17
Pb  0.2229  0.0367  0.7165  3 O 2.37-2.49
O  0.1591  0.1461  0.4760  1 U 2.17, 1 Pb 2.43
O  0.2705  0.7422  0.9119  1 U 2.02
O  0.4087  0.0858  0.2828  1 U 2.15, 1 Pb 2.37

Calculated values
- E_form (uncorrected) (eV/atom) = -2.305
- crystal system = monoclinic
- total energy (Ry per atom) = -0.540
- ρ (g/cm3) = 8.016

# 6
Density functional theory data (PBE) for a relaxed structure of GaFe3S.

Cell: 4.1981 4.1981 4.1981 Å, 90.00 90.00 90.00°
With the nearest neighbours (Å) after each atom.
Space group Pm-3m (No. 221)
Unique sites:
Ga  0.0000  0.0000  0.0000  12 Fe 2.97
Fe  0.0000  0.5000  0.5000  2 S 2.10
S  0.5000  0.5000  0.5000  6 Fe 2.10

Calculated values
- E_form (uncorrected) (eV/atom) = 0.182
- crystal system = cubic
- total energy (Ry per atom) = -0.465
- ρ (g/cm3) = 6.045

Number 1: DOS at the Fermi energy 1.3797 states/eV/atom. Number 2: DOS at the Fermi energy 0.6500 states/eV/atom. Number 3: DOS at the Fermi energy 0.5955 states/eV/atom. Number 4: DOS at the Fermi energy 1.0369 states/eV/atom. Number 5: DOS at the Fermi energy 0.0000 states/eV/atom. Number 6: DOS at the Fermi energy 0.5480 states/eV/atom.